# 1
{"formula": "CsLi2P2", "functional": "GGA-PBE", "state": "optimized geometry", "formation_energy_ev_per_atom": -0.313, "m_tot_mub_per_cell": 0.0, "total_energy_ev_per_atom": -3.413, "dos_ef_per_ev_fu": 1.8, "polymorph_energy_ev_per_atom": 0.1096, "lattice": [[-0.505, -7.647, 3.092], [7.636, 0.738, 3.072], [-1.423, 1.390, 3.205]], "species": ["P", "P", "P", "P", "Li", "Li", "Li", "Li", "Cs", "Cs"], "fractional_positions": [[0.095, 0.595, 0.500], [0.405, 0.095, 0.500], [0.595, 0.905, 0.500], [0.905, 0.405, 0.500], [0.893, 0.607, 0.000], [0.107, 0.393, 0.000], [0.607, 0.107, 0.000], [0.393, 0.893, 0.000], [0.000, 0.000, 0.000], [0.500, 0.500, 0.000]]}

***

# 2
{"formula": "CsLiP3", "functional": "GGA-PBE", "state": "optimized geometry", "formation_energy_ev_per_atom": 0.628, "m_tot_mub_per_cell": 0.0, "total_energy_ev_per_atom": -3.171, "dos_ef_per_ev_fu": 3.6, "polymorph_energy_ev_per_atom": 0.0000, "lattice": [[4.830, 0.000, 0.000], [0.000, 4.830, 0.000], [0.000, 0.000, 4.830]], "species": ["Li", "P", "P", "P", "Cs"], "fractional_positions": [[0.000, 0.000, 0.000], [0.000, 0.000, 0.500], [0.500, 0.000, 0.000], [0.000, 0.500, 0.000], [0.500, 0.500, 0.500]]}

***

# 3
{"formula": "Cs2LiP", "functional": "GGA-PBE", "state": "optimized geometry", "formation_energy_ev_per_atom": 0.319, "m_tot_mub_per_cell": 0.0, "total_energy_ev_per_atom": -1.939, "dos_ef_per_ev_fu": 0.9, "polymorph_energy_ev_per_atom": 0.6460, "lattice": [[-9.985, 0.614, 6.910], [-7.610, 7.448, 5.867], [6.734, -3.772, -9.394]], "species": ["Cs", "Cs", "Cs", "Cs", "Li", "Li", "P", "P"], "fractional_positions": [[0.624, 0.125, 0.999], [0.126, 0.625, 0.001], [0.375, 0.376, 0.501], [0.875, 0.874, 0.499], [0.250, 0.750, 0.500], [0.500, 0.500, 0.000], [0.000, 0.000, 0.000], [0.750, 0.250, 0.500]]}

***

# 4
{"formula": "Cs2LiP", "functional": "GGA-PBE", "state": "optimized geometry", "formation_energy_ev_per_atom": -0.327, "m_tot_mub_per_cell": 0.0, "total_energy_ev_per_atom": -2.585, "polymorph_energy_ev_per_atom": 0.0000, "lattice": [[6.456, 0.000, 0.000], [0.000, 6.483, -2.315], [0.000, 0.200, 6.881]], "species": ["Cs", "Cs", "Cs", "Cs", "Li", "Li", "P", "P"], "fractional_positions": [[0.750, 0.025, 0.690], [0.250, 0.975, 0.310], [0.750, 0.690, 0.025], [0.250, 0.310, 0.975], [0.500, 0.500, 0.500], [0.000, 0.500, 0.500], [0.750, 0.276, 0.276], [0.250, 0.724, 0.724]]}

***

# 5
{"formula": "Cs2LiP2", "functional": "GGA-PBE", "state": "optimized geometry", "formation_energy_ev_per_atom": -0.181, "m_tot_mub_per_cell": 0.8, "total_energy_ev_per_atom": -3.069, "dos_ef_per_ev_fu": 3.9, "polymorph_energy_ev_per_atom": 0.0566, "lattice": [[7.382, 0.000, 0.000], [0.000, 7.382, 0.000], [0.000, 0.000, 5.751]], "species": ["P", "P", "P", "P", "Cs", "Cs", "Cs", "Cs", "Li", "Li"], "fractional_positions": [[0.396, 0.896, 0.000], [0.604, 0.104, 0.000], [0.896, 0.604, 0.000], [0.104, 0.396, 0.000], [0.322, 0.178, 0.500], [0.822, 0.322, 0.500], [0.178, 0.678, 0.500], [0.678, 0.822, 0.500], [0.000, 0.000, 0.000], [0.500, 0.500, 0.000]]}

***

# 6
{"formula": "Cs2LiP2", "functional": "GGA-PBE", "state": "optimized geometry", "formation_energy_ev_per_atom": -0.238, "m_tot_mub_per_cell": 1.4, "total_energy_ev_per_atom": -3.126, "dos_ef_per_ev_fu": 3.6, "polymorph_energy_ev_per_atom": 0.0000, "lattice": [[7.314, 0.000, 0.000], [-3.657, 5.210, 0.493], [0.000, -1.481, 8.446]], "species": ["Cs", "Cs", "Cs", "Cs", "P", "P", "P", "P", "Li", "Li"], "fractional_positions": [[0.495, 0.283, 0.133], [0.505, 0.717, 0.867], [0.212, 0.717, 0.367], [0.788, 0.283, 0.633], [0.661, 0.679, 0.484], [0.017, 0.679, 0.984], [0.339, 0.321, 0.516], [0.983, 0.321, 0.016], [0.928, 0.000, 0.250], [0.072, 0.000, 0.750]]}

***

# 7
{"formula": "Cs2Li2P", "functional": "GGA-PBE", "state": "optimized geometry", "formation_energy_ev_per_atom": -0.368, "m_tot_mub_per_cell": 0.1, "total_energy_ev_per_atom": -2.557, "dos_ef_per_ev_fu": 2.0, "lattice": [[-4.174, -0.101, 1.583], [-2.348, -3.796, -0.134], [1.689, -4.042, 10.498]], "species": ["P", "Cs", "Cs", "Li", "Li"], "fractional_positions": [[0.000, 0.000, 0.000], [0.427, 0.427, 0.720], [0.573, 0.573, 0.280], [0.674, 0.674, 0.977], [0.326, 0.326, 0.023]]}

***

# 8
{"formula": "CsLiP3", "functional": "GGA-PBE", "state": "optimized geometry", "formation_energy_ev_per_atom": 1.734, "m_tot_mub_per_cell": 1.8, "total_energy_ev_per_atom": -2.065, "dos_ef_per_ev_fu": 6.1, "polymorph_energy_ev_per_atom": 1.1061, "lattice": [[-0.247, -2.281, -5.117], [2.904, -4.432, 1.835], [-4.791, -2.569, 1.377]], "species": ["P", "P", "P", "Li", "Cs"], "fractional_positions": [[0.000, 0.000, 0.500], [0.000, 0.500, 0.000], [0.500, 0.000, 0.000], [0.500, 0.500, 0.500], [0.000, 0.000, 0.000]]}